Run A
# Pm2NdGe (PBE, relaxed)
# Mass density   6.68 g cm⁻³
# V   31.50 A^3/atom
data_Pm2NdGe
_chemical_formula_sum 'Pm4 Nd2 Ge2'
_cell_length_a 6.3947
_cell_length_b 4.2454
_cell_length_c 9.2837
_cell_angle_alpha 90.00
_cell_angle_beta 90.00
_cell_angle_gamma 90.00
_symmetry_space_group_name_H-M 'P m m a'
_symmetry_Int_Tables_number 51
loop_
_symmetry_equiv_pos_as_xyz
'x,y,z'
'-x,-y,-z'
'-x+1/2,-y,z'
'x+1/2,y,-z'
'x+1/2,-y,-z'
'-x+1/2,y,z'
'-x,y,-z'
'x,-y,z'
loop_
_atom_site_label
_atom_site_type_symbol
_atom_site_fract_x
_atom_site_fract_y
_atom_site_fract_z
Pm1 Pm 0.2500 0.0000 0.1127
Pm2 Pm 0.2500 0.5000 0.7806
Nd1 Nd 0.0000 0.0000 0.5000
Ge1 Ge 0.2500 0.5000 0.3371

Run B
# Pm2NdGe (PBE, relaxed)
# Mass density   7.30 g cm⁻³
# V   28.83 A^3/atom
data_Pm2NdGe
_chemical_formula_sum 'Pm2 Nd1 Ge1'
_cell_length_a 3.9653
_cell_length_b 3.9653
_cell_length_c 7.3338
_cell_angle_alpha 90.00
_cell_angle_beta 90.00
_cell_angle_gamma 90.00
_symmetry_space_group_name_H-M 'P 4/m m m'
_symmetry_Int_Tables_number 123
_symmetry_space_group_name_Hall '-P 4 2'
loop_
_atom_site_label
_atom_site_type_symbol
_atom_site_fract_x
_atom_site_fract_y
_atom_site_fract_z
Pm1 Pm 0.0000 0.0000 0.2020
Nd1 Nd 0.5000 0.5000 0.5000
Ge1 Ge 0.5000 0.5000 0.0000

Run C
# Pm2NdGe (PBE, relaxed)
# Mass density   6.34 g cm⁻³
# V   33.19 A^3/atom
data_Pm2NdGe
_chemical_formula_sum 'Pm6 Nd3 Ge3'
_cell_length_a 3.7118
_cell_length_b 3.7118
_cell_length_c 33.3802
_cell_angle_alpha 90.00
_cell_angle_beta 90.00
_cell_angle_gamma 120.00
_symmetry_space_group_name_H-M 'R -3 m'
_symmetry_Int_Tables_number 166
_symmetry_space_group_name_Hall '-R 3 2"'
loop_
_atom_site_label
_atom_site_type_symbol
_atom_site_fract_x
_atom_site_fract_y
_atom_site_fract_z
Pm1 Pm 0.0000 0.0000 0.1067
Nd1 Nd 0.0000 0.0000 0.0000
Ge1 Ge 0.0000 0.0000 0.5000

Run D
# Pm2NdGe (PBE, relaxed)
# Mass density   7.65 g cm⁻³
# V   27.51 A^3/atom
data_Pm2NdGe
_chemical_formula_sum 'Pm2 Nd1 Ge1'
_cell_length_a 4.7977
_cell_length_b 4.7977
_cell_length_c 4.7802
_cell_angle_alpha 90.00
_cell_angle_beta 90.00
_cell_angle_gamma 90.00
_symmetry_space_group_name_H-M 'P 4/m m m'
_symmetry_Int_Tables_number 123
_symmetry_space_group_name_Hall '-P 4 2'
loop_
_atom_site_label
_atom_site_type_symbol
_atom_site_fract_x
_atom_site_fract_y
_atom_site_fract_z
Pm1 Pm 0.0000 0.5000 0.0000
Nd1 Nd 0.0000 0.0000 0.5000
Ge1 Ge 0.5000 0.5000 0.5000

The data favor run A; the next most stable structure lies 17 meV/atom above it.

Run A
# PmNdGePt (PBE, relaxed)
# Mass density   9.30 g cm⁻³
# V   24.86 A^3/atom
data_PmNdGePt
_chemical_formula_sum 'Pm2 Nd2 Ge2 Pt2'
_cell_length_a 4.3180
_cell_length_b 4.1148
_cell_length_c 11.1919
_cell_angle_alpha 90.00
_cell_angle_beta 90.00
_cell_angle_gamma 90.00
_symmetry_space_group_name_H-M 'A m m 2'
_symmetry_Int_Tables_number 38
loop_
_symmetry_equiv_pos_as_xyz
'x,y,z'
'-x,-y,z'
'-x,y,z'
'x,-y,z'
'x,y+1/2,z+1/2'
'-x,-y+1/2,z+1/2'
'-x,y+1/2,z+1/2'
'x,-y+1/2,z+1/2'
loop_
_atom_site_label
_atom_site_type_symbol
_atom_site_fract_x
_atom_site_fract_y
_atom_site_fract_z
Pm1 Pm 0.0000 0.0000 0.0000
Nd1 Nd 0.5000 0.0000 0.2772
Ge1 Ge 0.0000 0.0000 0.7145
Pt1 Pt 0.5000 0.0000 0.5526

Run B
# PmNdGePt (PBE, relaxed)
# Mass density   9.54 g cm⁻³
# V   24.25 A^3/atom
data_PmNdGePt
_chemical_formula_sum 'Pm4 Nd4 Ge4 Pt4'
_cell_length_a 7.2933
_cell_length_b 7.2933
_cell_length_c 7.2933
_cell_angle_alpha 90.00
_cell_angle_beta 90.00
_cell_angle_gamma 90.00
_symmetry_space_group_name_H-M 'F -4 3 m'
_symmetry_Int_Tables_number 216
_symmetry_space_group_name_Hall 'F -4 2 3'
loop_
_atom_site_label
_atom_site_type_symbol
_atom_site_fract_x
_atom_site_fract_y
_atom_site_fract_z
Pm1 Pm 0.0000 0.0000 0.0000
Nd1 Nd 0.0000 0.0000 0.5000
Ge1 Ge 0.2500 0.2500 0.7500
Pt1 Pt 0.2500 0.2500 0.2500

The data favor run A; the next most stable structure lies 155 meV/atom above it.

Run A
# PmNdGeRh (PBE, relaxed)
# Mass density   7.98 g cm⁻³
# V   24.17 A^3/atom
data_PmNdGeRh
_chemical_formula_sum 'Pm2 Nd2 Ge2 Rh2'
_cell_length_a 4.2239
_cell_length_b 4.2394
_cell_length_c 10.7975
_cell_angle_alpha 90.00
_cell_angle_beta 90.00
_cell_angle_gamma 90.00
_symmetry_space_group_name_H-M 'A m m 2'
_symmetry_Int_Tables_number 38
loop_
_symmetry_equiv_pos_as_xyz
'x,y,z'
'-x,-y,z'
'-x,y,z'
'x,-y,z'
'x,y+1/2,z+1/2'
'-x,-y+1/2,z+1/2'
'-x,y+1/2,z+1/2'
'x,-y+1/2,z+1/2'
loop_
_atom_site_label
_atom_site_type_symbol
_atom_site_fract_x
_atom_site_fract_y
_atom_site_fract_z
Pm1 Pm 0.0000 0.0000 0.0000
Nd1 Nd 0.5000 0.0000 0.7199
Ge1 Ge 0.0000 0.0000 0.2914
Rh1 Rh 0.5000 0.0000 0.4407

Run B
# PmNdGeRh (PBE, relaxed)
# Mass density   8.19 g cm⁻³
# V   23.55 A^3/atom
data_PmNdGeRh
_chemical_formula_sum 'Pm4 Nd4 Ge4 Rh4'
_cell_length_a 7.2231
_cell_length_b 7.2231
_cell_length_c 7.2231
_cell_angle_alpha 90.00
_cell_angle_beta 90.00
_cell_angle_gamma 90.00
_symmetry_space_group_name_H-M 'F -4 3 m'
_symmetry_Int_Tables_number 216
_symmetry_space_group_name_Hall 'F -4 2 3'
loop_
_atom_site_label
_atom_site_type_symbol
_atom_site_fract_x
_atom_site_fract_y
_atom_site_fract_z
Pm1 Pm 0.0000 0.0000 0.0000
Nd1 Nd 0.0000 0.0000 0.5000
Ge1 Ge 0.2500 0.2500 0.7500
Rh1 Rh 0.2500 0.2500 0.2500

The data favor run A; the next most stable structure lies 176 meV/atom above it.

Run A
# PmNdGeRu (PBE, relaxed)
# Mass density   8.28 g cm⁻³
# V   23.22 A^3/atom
data_PmNdGeRu
_chemical_formula_sum 'Pm4 Nd4 Ge4 Ru4'
_cell_length_a 7.1887
_cell_length_b 7.1887
_cell_length_c 7.1887
_cell_angle_alpha 90.00
_cell_angle_beta 90.00
_cell_angle_gamma 90.00
_symmetry_space_group_name_H-M 'F -4 3 m'
_symmetry_Int_Tables_number 216
_symmetry_space_group_name_Hall 'F -4 2 3'
loop_
_atom_site_label
_atom_site_type_symbol
_atom_site_fract_x
_atom_site_fract_y
_atom_site_fract_z
Pm1 Pm 0.0000 0.0000 0.0000
Nd1 Nd 0.0000 0.0000 0.5000
Ge1 Ge 0.2500 0.2500 0.2500
Ru1 Ru 0.2500 0.2500 0.7500

Run B
# PmNdGeRu (PBE, relaxed)
# Mass density   7.97 g cm⁻³
# V   24.13 A^3/atom
data_PmNdGeRu
_chemical_formula_sum 'Pm2 Nd2 Ge2 Ru2'
_cell_length_a 3.9444
_cell_length_b 4.3856
_cell_length_c 11.1587
_cell_angle_alpha 90.00
_cell_angle_beta 90.00
_cell_angle_gamma 90.00
_symmetry_space_group_name_H-M 'A m m 2'
_symmetry_Int_Tables_number 38
loop_
_symmetry_equiv_pos_as_xyz
'x,y,z'
'-x,-y,z'
'-x,y,z'
'x,-y,z'
'x,y+1/2,z+1/2'
'-x,-y+1/2,z+1/2'
'-x,y+1/2,z+1/2'
'x,-y+1/2,z+1/2'
loop_
_atom_site_label
_atom_site_type_symbol
_atom_site_fract_x
_atom_site_fract_y
_atom_site_fract_z
Pm1 Pm 0.0000 0.0000 0.0000
Nd1 Nd 0.5000 0.0000 0.2799
Ge1 Ge 0.0000 0.0000 0.6977
Ru1 Ru 0.5000 0.0000 0.5506

The data favor run B; the next most stable structure lies 207 meV/atom above it.

Run A
# PmNdSiGe (PBE, relaxed)
# Mass density   6.61 g cm⁻³
# V   24.48 A^3/atom
data_PmNdSiGe
_chemical_formula_sum 'Pm2 Nd2 Si2 Ge2'
_cell_length_a 3.9988
_cell_length_b 4.4597
_cell_length_c 10.9827
_cell_angle_alpha 90.00
_cell_angle_beta 90.00
_cell_angle_gamma 90.00
_symmetry_space_group_name_H-M 'A m m 2'
_symmetry_Int_Tables_number 38
loop_
_symmetry_equiv_pos_as_xyz
'x,y,z'
'-x,-y,z'
'-x,y,z'
'x,-y,z'
'x,y+1/2,z+1/2'
'-x,-y+1/2,z+1/2'
'-x,y+1/2,z+1/2'
'x,-y+1/2,z+1/2'
loop_
_atom_site_label
_atom_site_type_symbol
_atom_site_fract_x
_atom_site_fract_y
_atom_site_fract_z
Pm1 Pm 0.0000 0.0000 0.0000
Nd1 Nd 0.5000 0.0000 0.7216
Si1 Si 0.0000 0.0000 0.2832
Ge1 Ge 0.5000 0.0000 0.4376

Run B
# PmNdSiGe (PBE, relaxed)
# Mass density   6.58 g cm⁻³
# V   24.62 A^3/atom
data_PmNdSiGe
_chemical_formula_sum 'Pm4 Nd4 Si4 Ge4'
_cell_length_a 7.3303
_cell_length_b 7.3303
_cell_length_c 7.3303
_cell_angle_alpha 90.00
_cell_angle_beta 90.00
_cell_angle_gamma 90.00
_symmetry_space_group_name_H-M 'F -4 3 m'
_symmetry_Int_Tables_number 216
_symmetry_space_group_name_Hall 'F -4 2 3'
loop_
_atom_site_label
_atom_site_type_symbol
_atom_site_fract_x
_atom_site_fract_y
_atom_site_fract_z
Pm1 Pm 0.0000 0.0000 0.0000
Nd1 Nd 0.0000 0.0000 0.5000
Si1 Si 0.2500 0.2500 0.2500
Ge1 Ge 0.2500 0.2500 0.7500

The data favor run A; the next most stable structure lies 341 meV/atom above it.

Run A
# PrNd3Ge2 (PBE, relaxed)
# Mass density   6.88 g cm⁻³
# V   28.92 A^3/atom
data_PrNd3Ge2
_chemical_formula_sum 'Pr4 Nd12 Ge8'
_cell_length_a 17.8085
_cell_length_b 4.4969
_cell_length_c 9.5683
_cell_angle_alpha 90.00
_cell_angle_beta 115.06
_cell_angle_gamma 90.00
_symmetry_space_group_name_H-M 'C 1 2/m 1'
_symmetry_Int_Tables_number 12
loop_
_symmetry_equiv_pos_as_xyz
'x,y,z'
'-x,-y,-z'
'-x,y,-z'
'x,-y,z'
'x+1/2,y+1/2,z'
'-x+1/2,-y+1/2,-z'
'-x+1/2,y+1/2,-z'
'x+1/2,-y+1/2,z'
loop_
_atom_site_label
_atom_site_type_symbol
_atom_site_fract_x
_atom_site_fract_y
_atom_site_fract_z
Pr1 Pr 0.1155 0.0000 0.1304
Nd1 Nd 0.0478 0.0000 0.6955
Nd2 Nd 0.1524 0.5000 0.4746
Nd3 Nd 0.1905 0.5000 0.8847
Ge1 Ge 0.0071 0.5000 0.8671
Ge2 Ge 0.2382 0.0000 0.7140

Run B
# PrNd3Ge2 (PBE, relaxed)
# Mass density   6.92 g cm⁻³
# V   28.75 A^3/atom
data_PrNd3Ge2
_chemical_formula_sum 'Pr1 Nd3 Ge2'
_cell_length_a 4.5283
_cell_length_b 4.5283
_cell_length_c 8.4124
_cell_angle_alpha 90.00
_cell_angle_beta 90.00
_cell_angle_gamma 90.00
_symmetry_space_group_name_H-M 'P -4 m 2'
_symmetry_Int_Tables_number 115
loop_
_symmetry_equiv_pos_as_xyz
'x,y,z'
'y,-x,-z'
'-x,-y,z'
'-y,x,-z'
'-x,y,z'
'-y,-x,-z'
'x,-y,z'
'y,x,-z'
loop_
_atom_site_label
_atom_site_type_symbol
_atom_site_fract_x
_atom_site_fract_y
_atom_site_fract_z
Pr1 Pr 0.0000 0.0000 0.0000
Nd1 Nd 0.0000 0.5000 0.3593
Nd2 Nd 0.5000 0.5000 0.0000
Ge1 Ge 0.0000 0.5000 0.7224

The data favor run A; the next most stable structure lies 10 meV/atom above it.

Run A
# Pr2NdGe (PBE, relaxed)
# Mass density   6.02 g cm⁻³
# V   34.42 A^3/atom
data_Pr2NdGe
_chemical_formula_sum 'Pr6 Nd3 Ge3'
_cell_length_a 4.1191
_cell_length_b 4.1191
_cell_length_c 28.1081
_cell_angle_alpha 90.00
_cell_angle_beta 90.00
_cell_angle_gamma 120.00
_symmetry_space_group_name_H-M 'R 3 m'
_symmetry_Int_Tables_number 160
_symmetry_space_group_name_Hall 'R 3 -2"'
loop_
_atom_site_label
_atom_site_type_symbol
_atom_site_fract_x
_atom_site_fract_y
_atom_site_fract_z
Pr1 Pr 0.0000 0.0000 0.0000
Pr2 Pr 0.0000 0.0000 0.2085
Nd1 Nd 0.0000 0.0000 0.4388
Ge1 Ge 0.0000 0.0000 0.6037

Run B
# Pr2NdGe (PBE, relaxed)
# Mass density   5.62 g cm⁻³
# V   36.83 A^3/atom
data_Pr2NdGe
_chemical_formula_sum 'Pr6 Nd3 Ge3'
_cell_length_a 4.0017
_cell_length_b 4.0017
_cell_length_c 31.8715
_cell_angle_alpha 90.00
_cell_angle_beta 90.00
_cell_angle_gamma 120.00
_symmetry_space_group_name_H-M 'R -3 m'
_symmetry_Int_Tables_number 166
_symmetry_space_group_name_Hall '-R 3 2"'
loop_
_atom_site_label
_atom_site_type_symbol
_atom_site_fract_x
_atom_site_fract_y
_atom_site_fract_z
Pr1 Pr 0.0000 0.0000 0.1111
Nd1 Nd 0.0000 0.0000 0.0000
Ge1 Ge 0.0000 0.0000 0.5000

The data favor run A; the next most stable structure lies 186 meV/atom above it.

Run A
# Pr2NdGe2 (PBE, relaxed)
# Mass density   6.75 g cm⁻³
# V   28.10 A^3/atom
data_Pr2NdGe2
_chemical_formula_sum 'Pr8 Nd4 Ge8'
_cell_length_a 12.6761
_cell_length_b 4.5237
_cell_length_c 10.9436
_cell_angle_alpha 90.00
_cell_angle_beta 116.43
_cell_angle_gamma 90.00
_symmetry_space_group_name_H-M 'C 1 2/m 1'
_symmetry_Int_Tables_number 12
loop_
_symmetry_equiv_pos_as_xyz
'x,y,z'
'-x,-y,-z'
'-x,y,-z'
'x,-y,z'
'x+1/2,y+1/2,z'
'-x+1/2,-y+1/2,-z'
'-x+1/2,y+1/2,-z'
'x+1/2,-y+1/2,z'
loop_
_atom_site_label
_atom_site_type_symbol
_atom_site_fract_x
_atom_site_fract_y
_atom_site_fract_z
Pr1 Pr 0.0146 0.0000 0.1863
Pr2 Pr 0.1804 0.0000 0.5875
Nd1 Nd 0.2182 0.5000 0.8568
Ge1 Ge 0.0279 0.5000 0.3972
Ge2 Ge 0.1136 0.5000 0.0613

Run B
# Pr2NdGe2 (PBE, relaxed)
# Mass density   6.87 g cm⁻³
# V   27.61 A^3/atom
data_Pr2NdGe2
_chemical_formula_sum 'Pr4 Nd2 Ge4'
_cell_length_a 7.9252
_cell_length_b 7.9252
_cell_length_c 4.3957
_cell_angle_alpha 90.00
_cell_angle_beta 90.00
_cell_angle_gamma 90.00
_symmetry_space_group_name_H-M 'P 4/m b m'
_symmetry_Int_Tables_number 127
_symmetry_space_group_name_Hall '-P 4 2ab'
loop_
_atom_site_label
_atom_site_type_symbol
_atom_site_fract_x
_atom_site_fract_y
_atom_site_fract_z
Pr1 Pr 0.1741 0.3259 0.0000
Nd1 Nd 0.0000 0.0000 0.5000
Ge1 Ge 0.1193 0.6193 0.5000

The data favor run B; the next most stable structure lies 74 meV/atom above it.